(1)
Here is Hf4Ni2AsP after structural relaxation from OQMD. Energies are from PBE.

Properties
Its uncorrected energy is -8.510 eV per atom. Its symmetry is Pm, No. 6. The value obtained for the volume is 16.77 Å³ per atom.

```
Hf4Ni2AsP
1.0
-4.993 1.558 -0.004
-0.863 -2.771 -2.185
1.150 -4.807 5.643
As Hf Ni P
1 4 2 1
Cartesian
-4.083 0.350 1.170
-1.356 0.108 0.399
-1.088 -3.125 1.372
-3.238 -1.544 3.237
-2.918 -4.681 4.069
-3.256 -1.822 0.576
-0.945 -2.856 3.996
-0.213 -4.970 3.368
```



(2)
Here is Hf2NiAsP after structural relaxation from OQMD. Energies are from PBE.

Properties
The energy relative to the lowest polymorph listed for this composition is 0 meV per atom. Its symmetry is P6_3/mmc, No. 194. The value obtained for the volume is 16.42 Å³ per atom.

```
Hf2NiAsP
1.0
-2.828 -2.013 -1.567
0.361 0.147 3.789
-7.697 10.560 0.325
As Hf Ni P
2 4 2 2
Cartesian
0.000 0.000 0.000
-3.848 5.280 0.162
-2.663 -0.061 0.256
-4.715 2.755 0.343
-5.449 5.939 2.204
-7.501 8.755 2.290
-1.924 2.640 0.081
-5.773 7.920 0.244
-2.626 2.067 2.085
-7.538 6.627 0.462
```



(3)
Here is Hf3Ni2As4Pd2 after structural relaxation from OQMD. Energies are from PBE.

Properties
The energy relative to the lowest polymorph listed for this composition is 31 meV per atom. Its symmetry is Pm, No. 6. The value obtained for the volume is 17.30 Å³ per atom.

```
Hf3Ni2As4Pd2
1.0
-5.848 -2.895 0.703
0.996 -2.646 -2.610
2.882 -4.310 5.468
As Hf Ni Pd
4 3 2 2
Cartesian
-1.082 -1.150 0.753
-3.337 -3.817 2.596
0.874 -4.764 2.327
-1.478 -7.353 4.053
-4.640 -4.934 0.396
-1.261 -4.011 0.749
-1.113 -4.519 4.156
0.314 -2.357 2.509
1.032 -6.444 4.090
-3.495 -2.085 0.780
-2.924 -6.264 2.398
```



(4)
Here is Hf3NiAs4Pd3 after structural relaxation from OQMD. Energies are from PBE.

Properties
The energy relative to the lowest polymorph listed for this composition is 0 meV per atom. Its symmetry is Pm, No. 6. The value obtained for the volume is 17.71 Å³ per atom.

```
Hf3NiAs4Pd3
1.0
6.590 0.000 0.000
0.000 3.898 0.000
-0.008 0.000 7.585
As Hf Ni Pd
4 3 1 3
Cartesian
5.039 1.949 0.702
1.651 1.949 2.861
4.917 0.000 4.902
1.500 0.000 6.671
0.201 0.000 1.374
3.572 0.000 2.398
3.061 1.949 5.274
4.108 0.000 7.178
2.449 1.949 0.480
5.525 1.949 3.303
0.904 0.000 4.278
```



(5)
Here is Hf3Ni2As4Pd2 after structural relaxation from OQMD. Energies are from PBE.

Properties
The energy relative to the lowest polymorph listed for this composition is 16 meV per atom. Its symmetry is Pm, No. 6. The value obtained for the volume is 17.31 Å³ per atom.

```
Hf3Ni2As4Pd2
1.0
6.525 0.000 0.000
0.000 3.847 0.000
-0.130 0.000 7.586
As Hf Ni Pd
4 3 2 2
Cartesian
1.587 0.000 0.967
4.888 0.000 2.770
1.509 1.924 4.673
4.896 1.924 6.760
6.304 1.924 1.443
2.990 1.924 2.371
3.402 0.000 5.211
4.133 0.000 0.449
0.965 0.000 3.352
5.495 1.924 4.340
2.294 1.924 7.087
```



(6)
Here is Hf3NiAs4Pd3 after structural relaxation from OQMD. Energies are from PBE.

Properties
The energy relative to the lowest polymorph listed for this composition is 1 meV per atom. Its symmetry is Pm, No. 6. The value obtained for the volume is 17.79 Å³ per atom.

```
Hf3NiAs4Pd3
1.0
-2.710 5.759 -1.576
-2.963 -0.739 2.393
3.897 3.199 5.813
As Hf Ni Pd
4 3 1 3
Cartesian
-0.129 1.778 0.389
-0.580 5.564 1.000
0.243 3.021 4.378
-0.170 6.951 5.081
-3.356 5.794 0.779
-1.499 3.282 2.302
1.235 5.283 3.160
1.297 2.313 2.320
-1.495 3.873 -0.655
-1.596 6.391 3.143
1.168 4.702 6.043
```



(7)
Here is Hf3Ni2As4Pd2 after structural relaxation from OQMD. Energies are from PBE.

Properties
The energy relative to the lowest polymorph listed for this composition is 31 meV per atom. Its symmetry is Pm, No. 6. The value obtained for the volume is 17.26 Å³ per atom.

```
Hf3Ni2As4Pd2
1.0
6.495 0.000 0.000
0.000 3.873 0.000
-0.002 0.000 7.546
As Hf Ni Pd
4 3 2 2
Cartesian
4.890 0.000 0.906
1.618 0.000 2.831
4.956 1.936 4.811
1.423 1.936 6.554
0.233 1.936 1.345
3.490 1.936 2.410
3.002 0.000 5.207
2.293 0.000 0.478
1.004 1.936 4.184
5.575 0.000 3.372
3.991 1.936 7.122
```



(8)
Here is Hf3Ni2As4Pd2 after structural relaxation from OQMD. Energies are from PBE.

Properties
The energy relative to the lowest polymorph listed for this composition is 0 meV per atom. Its symmetry is Pm, No. 6. The value obtained for the volume is 17.12 Å³ per atom.

```
Hf3Ni2As4Pd2
1.0
6.552 0.000 0.000
0.000 3.861 0.000
-0.092 0.000 7.445
As Hf Ni Pd
4 3 2 2
Cartesian
4.910 0.000 0.695
1.617 0.000 2.699
4.850 1.931 4.815
1.506 1.931 6.645
0.149 1.931 1.353
3.496 1.931 2.313
2.982 0.000 5.179
2.469 0.000 0.439
3.958 1.931 7.049
5.471 0.000 3.270
0.890 1.931 4.237
```



(9)
Here is Hf3NiAs4Pd3 after structural relaxation from OQMD. Energies are from PBE.

Properties
The energy relative to the lowest polymorph listed for this composition is 4 meV per atom. Its symmetry is Pm, No. 6. The value obtained for the volume is 17.64 Å³ per atom.

```
Hf3NiAs4Pd3
1.0
6.534 0.000 0.000
0.000 3.898 0.000
-0.081 0.000 7.619
As Hf Ni Pd
4 3 1 3
Cartesian
1.531 1.949 0.902
4.882 1.949 2.966
1.523 0.000 4.819
5.094 0.000 6.556
6.275 0.000 1.376
2.987 0.000 2.437
3.447 1.949 5.279
5.515 0.000 4.212
4.235 1.949 0.502
0.907 1.949 3.380
2.377 0.000 7.167
```



(10)
Here is Hf3NiAs4Pd3 after structural relaxation from OQMD. Energies are from PBE.

Properties
The energy relative to the lowest polymorph listed for this composition is 0 meV per atom. Its symmetry is Pm, No. 6. The value obtained for the volume is 17.82 Å³ per atom.

```
Hf3NiAs4Pd3
1.0
-2.641 5.140 3.138
-3.549 -1.128 -1.140
-0.686 -4.245 6.336
As Hf Ni Pd
4 3 1 3
Cartesian
-0.721 0.757 1.498
-2.218 2.294 4.635
-2.878 -1.936 4.224
-4.421 -0.373 7.482
-4.452 3.614 3.636
-3.205 0.482 2.851
-1.904 -0.147 6.074
-1.716 3.008 2.367
-0.704 -1.099 3.279
-4.413 1.395 5.707
-3.419 -2.610 6.577
```



(11)
Here is Hf3Ni2As4Pd2 after structural relaxation from OQMD. Energies are from PBE.

Properties
The energy relative to the lowest polymorph listed for this composition is 16 meV per atom. Its symmetry is Pm, No. 6. The value obtained for the volume is 17.04 Å³ per atom.

```
Hf3Ni2As4Pd2
1.0
-1.609 -2.705 -5.702
0.474 -3.517 1.534
-7.155 -0.069 2.055
As Hf Ni Pd
4 3 2 2
Cartesian
-1.896 -2.063 -4.143
-3.181 -0.689 -0.596
-5.629 -3.863 -2.242
-6.294 -2.409 1.295
-1.087 -1.854 0.958
-2.922 -3.238 -1.646
-5.743 -1.320 -1.249
-3.956 -2.188 1.080
-7.536 -3.506 -0.834
-1.053 -0.983 -1.927
-4.518 -2.327 -3.935
```



(12)
Here is Hf3Ni2As4Pd2 after structural relaxation from OQMD. Energies are from PBE.

Properties
The energy relative to the lowest polymorph listed for this composition is 10 meV per atom. Its symmetry is Pm, No. 6. The value obtained for the volume is 17.10 Å³ per atom.

```
Hf3Ni2As4Pd2
1.0
-0.701 -1.586 6.228
0.729 -3.685 -0.857
7.389 1.240 0.955
As Hf Ni Pd
4 3 2 2
Cartesian
0.808 -0.216 1.618
2.358 -0.729 5.141
4.763 -1.442 1.591
6.186 -2.026 5.315
1.066 -3.143 5.765
2.404 -2.183 2.771
4.722 0.014 3.957
3.175 0.318 1.332
3.878 -2.509 5.427
0.019 -0.948 4.094
7.004 -1.265 2.737
```